[1]
Entry from the Alexandria database: a relaxed MnTeCl crystal (PBE).

* size of the total moment: 1.336 μB/atom
* space group: Fmm2, No. 42
* total energy: -5.103 eV/atom

a b c (Å): 8.210 7.706 3.775
angles (deg): 83.85 68.95 27.21
Fractional positions:
Cl  0.948  0.948  0.052
Mn  0.341  0.341  0.659
Te  0.711  0.711  0.289

***

[2]
Entry from the Alexandria database: a relaxed In2FeAg crystal (PBE).

* energy above the most stable polymorph in this dataset: 765 meV/atom
* size of the total moment: 0.000 μB/atom
* ΔE_f: 969.2 meV/atom
* space group: I-42d, No. 122
* total energy: -3.229 eV/atom

a b c (Å): 6.115 6.115 7.442
angles (deg): 65.74 65.74 90.00
Fractional positions:
Fe  0.500  0.500  0.000
Fe  0.250  0.750  0.500
Ag  0.000  0.000  0.000
Ag  0.750  0.250  0.500
In  0.581  0.125  0.250
In  0.169  0.625  0.250
In  0.375  0.419  0.750
In  0.875  0.831  0.750

***

- What is the formula in the second record?
  In2FeAg

***

- size of the total moment of number 2 (In2FeAg)?
  0.000 μB/atom

***

- Look up the size of the total moment of the second one.
  0.000 μB/atom